Below is a relaxed Sr2CdIn crystal, with properties calculated at the GGA-PBE level.

Calculated values
Fermi-level density of states: 0.598 states/eV/atom
ΔE to the lowest computed polymorph: 181 meV per atom

a = 4.119 Å, b = 4.119 Å, c = 8.639 Å
α = 90.00°, β = 90.00°, γ = 90.00°
Space group P4mm (No. 99)
One atom of each set of equivalent atoms:
Sr (0.000, 0.000, 0.000) (multiplicity 1)
Sr (0.500, 0.500, 0.371) (multiplicity 1)
Cd (0.000, 0.000, 0.588) (multiplicity 1)
In (0.500, 0.500, 0.773) (multiplicity 1)